Arrangement 1

Li3Be | PBE | optimized geometry

POSCAR file:
```
Li3Be
1.0
2.761 0.000 0.000
0.000 4.616 0.000
0.000 0.000 9.241
Li Be
6 2
Direct
0.000 0.000 0.000
0.000 0.500 0.232
0.000 0.500 0.768
0.500 0.000 0.268
0.500 0.000 0.732
0.500 0.500 0.500
0.000 0.000 0.500
0.500 0.500 0.000
```

Computed properties:
Crystal system: orthorhombic
SG: No. 71

Arrangement 2

Li3Be | PBE | optimized geometry

POSCAR file:
```
Li3Be
1.0
4.439 0.000 0.000
0.000 4.439 0.000
0.000 0.000 2.938
Li Be
3 1
Direct
0.000 0.000 0.000
0.000 0.500 0.500
0.500 0.000 0.500
0.500 0.500 0.000
```

Computed properties:
Crystal system: tetragonal
SG: No. 123

It is arrangement 1 that is the most stable of them.

Arrangement 1

Li3Be | PBE | optimized geometry

POSCAR file:
```
Li3Be
1.0
5.448 0.000 0.000
0.000 7.855 0.000
0.000 0.000 2.671
Li Be
6 2
Direct
0.000 0.000 0.000
0.250 0.250 0.500
0.250 0.750 0.500
0.500 0.500 0.000
0.750 0.250 0.500
0.750 0.750 0.500
0.000 0.500 0.000
0.500 0.000 0.000
```

Computed properties:
Crystal system: orthorhombic
SG: No. 65

Arrangement 2

Li3Be | PBE | optimized geometry

POSCAR file:
```
Li3Be
1.0
2.513 0.000 0.000
0.000 4.207 0.000
0.000 0.000 5.444
Li Be
3 1
Direct
0.000 0.000 0.000
0.500 0.500 0.276
0.500 0.500 0.724
0.000 0.000 0.500
```

Computed properties:
Crystal system: orthorhombic
SG: No. 47

It is arrangement 2 that is the most stable of them.